# 1
Material: BaTa2As
Method: DFT, GGA-PBEsol
State: optimized geometry

Calculated formation energy   1063 meV per atom
Magnetic moment   0.000 μB per formula unit
SG   Cmmm

abc: 5.806 5.806 2.884
angles: 90.00 90.00 116.81
Element x y z (fractional)
Ba 0.000 0.000 0.000
Ta 0.000 0.500 0.500
Ta 0.500 0.000 0.500
As 0.500 0.500 0.000

---

# 2
Material: ZrCdPdO2
Method: DFT, GGA-PBEsol
State: optimized geometry

Magnetic moment   0.000 μB per formula unit
Energy relative to the elements, uncorrected   -1341 meV/atom
SG   P4/mmm

abc: 3.994 3.994 5.489
angles: 90.00 90.00 90.00
Element x y z (fractional)
Zr 0.000 0.000 0.000
Cd 0.500 0.500 0.500
Pd 0.000 0.000 0.500
O 0.000 0.500 0.000
O 0.500 0.000 0.000

---

# 3
Material: Na2H2Au
Method: DFT, GGA-PBEsol
State: optimized geometry

DFT total energy   -0.2083 Ry per atom
Magnetic moment   0.000 μB per formula unit
SG   I4/mmm

abc: 6.317 6.317 6.317
angles: 146.41 146.41 48.24
Element x y z (fractional)
Na 0.136 0.136 0.000
Na 0.864 0.864 0.000
H 0.355 0.355 0.000
H 0.645 0.645 0.000
Au 0.500 0.500 0.000

---

# 4
Material: NaLiZrC2
Method: DFT, GGA-PBEsol
State: optimized geometry

Calculated formation energy   1874 meV per atom
Magnetic moment   0.507 μB per formula unit
SG   P4/mmm

abc: 3.913 3.913 3.999
angles: 90.00 90.00 90.00
Element x y z (fractional)
Na 0.000 0.000 0.000
Li 0.500 0.500 0.500
Zr 0.500 0.500 0.000
C 0.000 0.500 0.500
C 0.500 0.000 0.500

---

# 5
Material: K2AlIn
Method: DFT, GGA-PBEsol
State: optimized geometry

Calculated formation energy   25 meV per atom
Magnetic moment   0.000 μB per formula unit
SG   R3m

abc: 8.806 8.806 8.806
angles: 31.52 31.52 31.52
Element x y z (fractional)
K 0.000 0.000 0.000
K 0.183 0.183 0.183
Al 0.758 0.758 0.758
In 0.425 0.425 0.425

---

# 6
Material: Tl2HgSb
Method: DFT, GGA-PBEsol
State: optimized geometry

Magnetic moment   0.000 μB per formula unit
Energy relative to the elements, uncorrected   17 meV/atom
SG   Pm

abc: 3.259 5.060 6.653
angles: 90.00 98.88 90.00
Element x y z (fractional)
Tl 0.000 0.000 0.000
Tl 0.306 0.500 0.707
Hg 0.612 0.500 0.212
Sb 0.670 0.000 0.470

---

# 7
Material: K2InCo
Method: DFT, GGA-PBEsol
State: optimized geometry

Calculated formation energy   781 meV per atom
Magnetic moment   1.501 μB per formula unit
SG   I4/mmm

abc: 6.345 6.345 6.345
angles: 140.23 140.23 57.50
Element x y z (fractional)
K 0.250 0.750 0.500
K 0.750 0.250 0.500
In 0.000 0.000 0.000
Co 0.500 0.500 0.000

---

# 8
Material: HfMoH2Rh
Method: DFT, GGA-PBEsol
State: optimized geometry

DFT total energy   -0.4971 Ry per atom
Magnetic moment   0.943 μB per formula unit
SG   P4/mmm

abc: 3.589 3.589 5.154
angles: 90.00 90.00 90.00
Element x y z (fractional)
Hf 0.000 0.000 0.000
Mo 0.000 0.000 0.500
H 0.000 0.500 0.500
H 0.500 0.000 0.500
Rh 0.500 0.500 0.000

---

# 9
Material: TbF4
Method: DFT, GGA-PBEsol
State: optimized geometry

Magnetic moment   1.028 μB per formula unit
Energy relative to the elements, uncorrected   -3218 meV/atom
SG   C2/c

abc: 8.249 8.249 7.891
angles: 113.79 113.79 84.03
Element x y z (fractional)
Tb 0.200 0.800 0.750
Tb 0.224 0.360 0.138
Tb 0.360 0.224 0.638
Tb 0.640 0.776 0.362
Tb 0.776 0.640 0.862
Tb 0.800 0.200 0.250
F 0.000 0.500 0.000
F 0.024 0.716 0.855
F 0.072 0.170 0.441
F 0.170 0.072 0.941
F 0.212 0.594 0.447
F 0.225 0.498 0.650
F 0.258 0.353 0.872
F 0.284 0.976 0.645
F 0.353 0.258 0.372
F 0.406 0.594 0.250
F 0.406 0.788 0.053
F 0.498 0.225 0.150
F 0.500 0.000 0.500
F 0.502 0.775 0.850
F 0.594 0.212 0.947
F 0.594 0.406 0.750
F 0.647 0.742 0.628
F 0.716 0.024 0.355
F 0.742 0.647 0.128
F 0.775 0.502 0.350
F 0.788 0.406 0.553
F 0.830 0.928 0.059
F 0.928 0.830 0.559
F 0.976 0.284 0.145

---

# 10
Material: CdNi3N
Method: DFT, GGA-PBEsol
State: optimized geometry

Magnetic moment   0.000 μB per formula unit
Energy relative to the elements, uncorrected   -158 meV/atom
SG   Pm-3m

abc: 3.793 3.793 3.793
angles: 90.00 90.00 90.00
Element x y z (fractional)
Cd 0.000 0.000 0.000
Ni 0.000 0.500 0.500
Ni 0.500 0.000 0.500
Ni 0.500 0.500 0.000
N 0.500 0.500 0.500

---

# 11
Material: GdH18I3O9
Method: DFT, GGA-PBEsol
State: optimized geometry

DFT total energy   -0.3824 Ry per atom
Magnetic moment   6.967 μB per formula unit
SG   Pmmn

abc: 7.673 11.234 9.021
angles: 90.00 90.00 90.00
Element x y z (fractional)
Gd 0.250 0.250 0.165
Gd 0.750 0.750 0.835
H 0.042 0.679 0.629
H 0.042 0.821 0.629
H 0.043 0.648 0.015
H 0.043 0.852 0.015
H 0.044 0.573 0.866
H 0.044 0.927 0.866
H 0.250 0.051 0.406
H 0.250 0.179 0.827
H 0.250 0.321 0.827
H 0.250 0.449 0.406
H 0.250 0.522 0.256
H 0.250 0.978 0.256
H 0.456 0.573 0.866
H 0.456 0.927 0.866
H 0.457 0.648 0.015
H 0.457 0.852 0.015
H 0.458 0.679 0.629
H 0.458 0.821 0.629
H 0.542 0.179 0.371
H 0.542 0.321 0.371
H 0.543 0.148 0.985
H 0.543 0.352 0.985
H 0.544 0.073 0.134
H 0.544 0.427 0.134
H 0.750 0.022 0.744
H 0.750 0.478 0.744
H 0.750 0.551 0.594
H 0.750 0.679 0.173
H 0.750 0.821 0.173
H 0.750 0.949 0.594
H 0.956 0.073 0.134
H 0.956 0.427 0.134
H 0.957 0.148 0.985
H 0.957 0.352 0.985
H 0.958 0.179 0.371
H 0.958 0.321 0.371
I 0.250 0.504 0.669
I 0.250 0.750 0.193
I 0.250 0.996 0.669
I 0.750 0.004 0.331
I 0.750 0.250 0.807
I 0.750 0.496 0.331
O 0.033 0.118 0.066
O 0.033 0.382 0.066
O 0.034 0.250 0.362
O 0.250 0.060 0.296
O 0.250 0.250 0.893
O 0.250 0.440 0.296
O 0.466 0.250 0.362
O 0.467 0.118 0.066
O 0.467 0.382 0.066
O 0.533 0.618 0.934
O 0.533 0.882 0.934
O 0.534 0.750 0.638
O 0.750 0.560 0.704
O 0.750 0.750 0.107
O 0.750 0.940 0.704
O 0.966 0.750 0.638
O 0.967 0.618 0.934
O 0.967 0.882 0.934